Material: AgPt2Cl
Method: DFT, PBE
State: optimized geometry

a = 4.8570 Å, b = 4.8570 Å, c = 2.8916 Å
α = 90.00°, β = 90.00°, γ = 90.00°
Last column: nearest neighbours and their distance in Å.
Positions (direct):
Ag (0.0000, 0.0000, 0.0000)  8 Pt 2.83, 2 Ag 2.89
Pt (0.0000, 0.5000, 0.5000)  4 Cl 2.83, 4 Ag 2.83, 2 Pt 2.89
Pt (0.5000, 0.0000, 0.5000)  4 Cl 2.83, 4 Ag 2.83, 2 Pt 2.89
Cl (0.5000, 0.5000, 0.0000)  8 Pt 2.83, 2 Cl 2.89

Output
symmetry: P4/mmm, No. 123
energy above the lowest structure with this stoichiometry: 452.7 meV per atom
E: -3.617 eV per atom